Record 1
Entry from Alexandria via LeMat-Bulk: crystalline Al2AgAu at its relaxed geometry (PBE).

Output
**Volume**: 67.3 Å³/f.u.
**DOS at the Fermi energy**: 1.3 states/eV per cell
**Space group**: I4/mmm (139)
**Energy of formation**: -128 meV per atom

POSCAR file:
```
Al2AgAu
1.0
4.7716 -0.1113 0.0000
1.0707 4.6513 0.0000
-2.9212 -2.2700 3.0157
Au Al Ag
1 2 1
Direct
0.2500 0.7500 0.5000 Au
0.0000 0.0000 0.0000 Al
0.5000 0.5000 0.0000 Al
0.7500 0.2500 0.5000 Ag
```

***

Record 2
Entry from Alexandria via LeMat-Bulk: crystalline MnSiTe2 at its relaxed geometry (PBE).

Output
**Volume**: 97.6 Å³/f.u.
**E_form (uncorrected)**: 0.44 eV/atom
**DOS at the Fermi energy**: 2.2 states/eV per cell
**Space group**: I-4m2 (119)

POSCAR file:
```
MnSiTe2
1.0
-6.0996 -2.5298 1.1575
-1.8866 -5.0287 4.0123
3.6368 5.6137 -0.4533
Si Te Mn
1 2 1
Direct
0.7500 0.2500 0.5000 Si
0.2500 0.7500 0.5000 Te
0.0000 0.0000 0.0000 Te
0.5000 0.5000 0.0000 Mn
```

***

Record 3
Entry from Alexandria via LeMat-Bulk: crystalline TlWSe2 at its relaxed geometry (PBE).

Output
**Volume**: 84.1 Å³/f.u.
**E_form (uncorrected)**: 0.78 eV/atom
**DOS at the Fermi energy**: 2.7 states/eV per cell
**Space group**: P4/mmm (123)

POSCAR file:
```
TlWSe2
1.0
5.0348 0.0000 0.0000
0.0000 5.0348 0.0000
0.0000 0.0000 3.3187
W Se Tl
1 2 1
Direct
0.0000 0.5000 0.5000 W
0.5000 0.5000 0.0000 Se
0.0000 0.0000 0.0000 Se
0.5000 0.0000 0.5000 Tl
```